# 1
Entry from Alexandria via LeMat-Bulk: an optimized crystal structure of Ba3BRu (PBE-GGA).

Values from the calculation:
VASP energy ... -16.9 eV for the cell shown
Calculated formation energy ... 4.832 eV/f.u.
Relative energy among the computed polymorphs ... 0 meV per atom
Spin magnetization ... 0.3079 μB/atom

a = 5.7606 Å, b = 5.7606 Å, c = 5.7606 Å
α = 90.00°, β = 90.00°, γ = 90.00°
Closest atoms and distances in Å follow each position.
Sites, in units of the cell vectors:
Ba 0.0000 0.5000 0.0000  2 Ru 2.88
Ba 0.5000 0.0000 0.0000  2 Ru 2.88
Ru 0.0000 0.0000 0.0000  6 Ba 2.88
B 0.5000 0.5000 0.5000  12 Ba 4.07
Ba 0.0000 0.0000 0.5000  2 Ru 2.88

***

# 2
Entry from Alexandria via LeMat-Bulk: an optimized crystal structure of Rb2Li2SnI6 (PBE-GGA).

Values from the calculation:
VASP energy ... -30.9 eV for the cell shown
Spin magnetization ... 0.0000 μB/atom
Formation energy (no corrections) ... -1073.0 meV per atom

a = 8.7054 Å, b = 8.4807 Å, c = 9.0170 Å
α = 113.03°, β = 90.00°, γ = 120.88°
Closest atoms and distances in Å follow each position.
Sites, in units of the cell vectors:
Sn 0.5000 0.0000 0.5000  6 I 3.18-3.23
Li 0.9430 0.8860 0.7322  3 I 2.65-2.67
I 0.2616 0.5232 0.4085  1 Li 2.65
I 0.3121 0.1183 0.7968  1 Li 2.67
I 0.8063 0.1183 0.7968  1 Li 2.67
Rb 0.7134 0.4267 0.1706  5 I 3.64-3.87
I 0.6879 0.8817 0.2032  1 Li 2.67
Li 0.0570 0.1140 0.2678  3 I 2.65-2.67
Rb 0.2866 0.5733 0.8294  5 I 3.64-3.87
I 0.1937 0.8817 0.2032  1 Li 2.67
I 0.7384 0.4768 0.5915  1 Li 2.65

***

# 3
Entry from Alexandria via LeMat-Bulk: an optimized crystal structure of Ba2NiW2 (PBE-GGA).

Values from the calculation:
VASP energy ... -31.2 eV for the cell shown
Calculated formation energy ... 4.319 eV/f.u.
Relative energy among the computed polymorphs ... 0 meV per atom
Spin magnetization ... 0.0001 μB/atom

a = 3.6505 Å, b = 3.6505 Å, c = 10.5455 Å
α = 80.03°, β = 80.03°, γ = 90.00°
Closest atoms and distances in Å follow each position.
Sites, in units of the cell vectors:
W 0.7500 0.2500 0.5000  4 W 2.58
W 0.2500 0.7500 0.5000  4 W 2.58
Ba 0.4062 0.4062 0.1877  4 Ni 3.22
Ba 0.5938 0.5938 0.8123  4 Ni 3.22
Ni 0.0000 0.0000 0.0000  8 Ba 3.22

***

# 4
Entry from Alexandria via LeMat-Bulk: an optimized crystal structure of DyPuZnAu (PBE-GGA).

Values from the calculation:
VASP energy ... -25.0 eV for the cell shown
Calculated formation energy ... -1.467 eV/f.u.
Spin magnetization ... 1.4299 μB/atom

a = 5.1023 Å, b = 5.1023 Å, c = 5.1023 Å
α = 60.00°, β = 60.00°, γ = 60.00°
Closest atoms and distances in Å follow each position.
Sites, in units of the cell vectors:
Au 0.5000 0.5000 0.5000  4 Pu 3.12, 4 Dy 3.12
Zn 0.0000 0.0000 0.0000  4 Dy 3.12, 4 Pu 3.12
Pu 0.2500 0.2500 0.2500  4 Zn 3.12, 4 Au 3.12
Dy 0.7500 0.7500 0.7500  4 Zn 3.12, 4 Au 3.12